The following is a DFT calculation (PBE-GGA) of a relaxed TaOsPb2 crystal.

Computed properties:
- N(E_F) (states/eV per atom) = 1.135
- ΔE to the lowest computed polymorph (eV/atom) = 0.8654
- energy relative to the elements (meV/atom) = 1053
- final energy (eV/cell) = -105.15
- spin magnetization (μB per formula unit) = 0.0
- space-group type = I-42d (122)

Geometry as extended XYZ:
```
16
Lattice="4.175 0.000 0.000 0.000 4.175 0.000 0.000 0.000 20.417" Properties=species:S:1:pos:R:3 pbc="T T T"
Ta 0.000 0.000 0.000
Ta 0.000 2.088 5.104
Ta 2.088 0.000 15.313
Ta 2.088 2.088 10.209
Os 0.000 0.000 10.209
Os 0.000 2.088 15.313
Os 2.088 0.000 5.104
Os 2.088 2.088 0.000
Pb 1.031 1.044 12.761
Pb 1.044 3.118 17.865
Pb 1.044 3.145 7.657
Pb 1.057 1.044 2.552
Pb 3.118 3.132 2.552
Pb 3.132 1.031 7.657
Pb 3.132 1.057 17.865
Pb 3.145 3.132 12.761
```

The following is a DFT calculation (PBE-GGA) of a relaxed TaOs2Pb crystal.

Computed properties:
- N(E_F) (states/eV per atom) = 1.351
- energy relative to the elements (meV/atom) = 846
- final energy (eV/cell) = -138.55
- spin magnetization (μB per formula unit) = 0.8
- space-group type = F-43m (216)

Geometry as extended XYZ:
```
16
Lattice="6.538 0.000 0.000 0.000 6.538 0.000 0.000 0.000 6.538" Properties=species:S:1:pos:R:3 pbc="T T T"
Ta 0.000 0.000 0.000
Ta 0.000 3.269 3.269
Ta 3.269 0.000 3.269
Ta 3.269 3.269 0.000
Os 0.000 0.000 3.269
Os 0.000 3.269 0.000
Os 1.634 1.634 4.903
Os 1.634 4.903 1.634
Os 3.269 0.000 0.000
Os 3.269 3.269 3.269
Os 4.903 1.634 1.634
Os 4.903 4.903 4.903
Pb 1.634 1.634 1.634
Pb 1.634 4.903 4.903
Pb 4.903 1.634 4.903
Pb 4.903 4.903 1.634
```

The following is a DFT calculation (PBE-GGA) of a relaxed TaOs2Pb crystal.

Computed properties:
- N(E_F) (states/eV per atom) = 0.530
- energy relative to the elements (meV/atom) = 430
- final energy (eV/cell) = -72.60
- spin magnetization (μB per formula unit) = 0.0
- space-group type = I4/mmm (139)

Geometry as extended XYZ:
```
8
Lattice="4.306 0.000 0.000 0.000 4.306 0.000 0.000 0.000 7.415" Properties=species:S:1:pos:R:3 pbc="T T T"
Ta 0.000 0.000 0.000
Ta 2.153 2.153 3.708
Os 0.000 2.153 1.854
Os 0.000 2.153 5.562
Os 2.153 0.000 1.854
Os 2.153 0.000 5.562
Pb 0.000 0.000 3.708
Pb 2.153 2.153 0.000
```

The following is a DFT calculation (PBE-GGA) of a relaxed TaOs2Pb crystal.

Computed properties:
- N(E_F) (states/eV per atom) = 0.792
- energy relative to the elements (meV/atom) = 593
- final energy (eV/cell) = -35.65
- spin magnetization (μB per formula unit) = 0.0
- space-group type = Pmm2 (25)

Geometry as extended XYZ:
```
4
Lattice="2.992 0.000 0.000 0.000 4.168 0.000 0.000 0.000 5.656" Properties=species:S:1:pos:R:3 pbc="T T T"
Ta 0.000 0.000 0.000
Os 0.000 0.000 2.547
Os 1.496 2.084 1.073
Pb 1.496 2.084 3.889
```

The following is a DFT calculation (PBE-GGA) of a relaxed TaTiOsPb2 crystal.

Computed properties:
- N(E_F) (states/eV per atom) = 1.185
- energy relative to the elements (meV/atom) = 1543
- final energy (eV/cell) = -30.68
- spin magnetization (μB per formula unit) = 0.0
- space-group type = P4/mmm (123)

Geometry as extended XYZ:
```
5
Lattice="5.211 0.000 0.000 0.000 5.211 0.000 0.000 0.000 4.507" Properties=species:S:1:pos:R:3 pbc="T T T"
Ta 0.000 0.000 0.000
Ti 2.605 2.605 2.254
Os 2.605 2.605 0.000
Pb 0.000 2.605 2.254
Pb 2.605 0.000 2.254
```

The following is a DFT calculation (PBE-GGA) of a relaxed TaVOs2Pb crystal.

Computed properties:
- N(E_F) (states/eV per atom) = 1.728
- ΔE to the lowest computed polymorph (eV/atom) = 1.3907
- energy relative to the elements (meV/atom) = 3008
- final energy (eV/cell) = -32.10
- spin magnetization (μB per formula unit) = 0.0
- space-group type = P4/mmm (123)

Geometry as extended XYZ:
```
5
Lattice="4.846 0.000 0.000 0.000 4.846 0.000 0.000 0.000 5.037" Properties=species:S:1:pos:R:3 pbc="T T T"
Ta 0.000 0.000 0.000
V 2.423 2.423 0.000
Os 0.000 2.423 2.518
Os 2.423 0.000 2.518
Pb 0.000 0.000 2.518
```

The following is a DFT calculation (PBE-GGA) of a relaxed TaVOs2Pb crystal.

Computed properties:
- N(E_F) (states/eV per atom) = 1.071
- ΔE to the lowest computed polymorph (eV/atom) = 0.0000
- energy relative to the elements (meV/atom) = 1618
- final energy (eV/cell) = -39.05
- spin magnetization (μB per formula unit) = 0.0
- space-group type = P4/mmm (123)

Geometry as extended XYZ:
```
5
Lattice="4.515 0.000 0.000 0.000 4.515 0.000 0.000 0.000 4.881" Properties=species:S:1:pos:R:3 pbc="T T T"
Ta 0.000 0.000 0.000
V 2.257 2.257 2.441
Os 0.000 2.257 2.441
Os 2.257 0.000 2.441
Pb 2.257 2.257 0.000
```

The following is a DFT calculation (PBE-GGA) of a relaxed Tb2OsPb crystal.

Computed properties:
- N(E_F) (states/eV per atom) = 0.550
- ΔE to the lowest computed polymorph (eV/atom) = 0.0000
- energy relative to the elements (meV/atom) = -361
- final energy (eV/cell) = -25.64
- spin magnetization (μB per formula unit) = 0.0
- space-group type = P4/mmm (123)

Geometry as extended XYZ:
```
4
Lattice="3.410 0.000 0.000 0.000 3.410 0.000 0.000 0.000 8.526" Properties=species:S:1:pos:R:3 pbc="T T T"
Tb 0.000 0.000 1.681
Tb 0.000 0.000 6.845
Os 1.705 1.705 0.000
Pb 1.705 1.705 4.263
```

The following is a DFT calculation (PBE-GGA) of a relaxed Tb2OsPb crystal.

Computed properties:
- N(E_F) (states/eV per atom) = 0.955
- ΔE to the lowest computed polymorph (eV/atom) = 0.4764
- energy relative to the elements (meV/atom) = 116
- final energy (eV/cell) = -71.21
- spin magnetization (μB per formula unit) = 0.0
- space-group type = R-3m (166)

Geometry as extended XYZ:
```
12
Lattice="3.913 0.000 0.000 -1.957 3.389 0.000 0.000 0.000 29.142" Properties=species:S:1:pos:R:3 pbc="T T T"
Tb 0.000 0.000 3.305
Tb 0.000 0.000 25.837
Tb 0.000 2.259 16.123
Tb 0.000 2.259 22.733
Tb 1.957 1.130 6.409
Tb 1.957 1.130 13.019
Os 0.000 0.000 14.571
Os 0.000 2.259 4.857
Os 1.957 1.130 24.285
Pb 0.000 0.000 0.000
Pb 0.000 2.259 19.428
Pb 1.957 1.130 9.714
```

The following is a DFT calculation (PBE-GGA) of a relaxed Tb3OsPb crystal.

Computed properties:
- N(E_F) (states/eV per atom) = 0.709
- energy relative to the elements (meV/atom) = -279
- final energy (eV/cell) = -60.45
- spin magnetization (μB per formula unit) = 0.0
- space-group type = C2/m (12)

Geometry as extended XYZ:
```
10
Lattice="7.195 -2.309 0.000 7.195 2.309 0.000 -5.517 0.000 8.350" Properties=species:S:1:pos:R:3 pbc="T T T"
Tb -1.082 0.000 3.689
Tb 3.856 0.000 1.822
Tb 0.855 0.000 6.493
Tb 8.018 0.000 1.857
Tb 5.018 0.000 6.528
Tb 9.955 0.000 4.661
Os 1.688 0.000 3.542
Os 7.185 0.000 4.808
Pb -3.951 0.000 7.898
Pb 12.825 0.000 0.452
```

The following is a DFT calculation (PBE-GGA) of a relaxed Tb5Os2Pb crystal.

Computed properties:
- N(E_F) (states/eV per atom) = 0.785
- energy relative to the elements (meV/atom) = -343
- final energy (eV/cell) = -104.12
- spin magnetization (μB per formula unit) = 0.0
- space-group type = I4/mcm (140)

Geometry as extended XYZ:
```
16
Lattice="-3.876 3.876 6.991 3.876 -3.876 6.991 3.876 3.876 -6.991" Properties=species:S:1:pos:R:3 pbc="T T T"
Tb 0.000 0.000 0.000
Tb 5.117 1.241 -1.819
Tb 1.241 2.635 -1.819
Tb 5.117 1.241 1.819
Tb 1.241 2.635 1.819
Tb 0.000 0.000 6.991
Tb 2.635 1.241 5.172
Tb -1.241 2.635 5.172
Tb 2.635 1.241 8.810
Tb -1.241 2.635 8.810
Os 2.804 1.071 0.000
Os 2.804 -1.071 6.991
Os 1.071 4.947 0.000
Os 1.071 2.804 6.991
Pb 0.000 0.000 3.496
Pb 0.000 0.000 10.487
```

The following is a DFT calculation (PBE-GGA) of a relaxed Tb4OsPb crystal.

Computed properties:
- N(E_F) (states/eV per atom) = 0.923
- energy relative to the elements (meV/atom) = -376
- final energy (eV/cell) = -71.43
- spin magnetization (μB per formula unit) = 0.0
- space-group type = C2/c (15)

Geometry as extended XYZ:
```
12
Lattice="4.464 -6.801 0.000 4.464 6.801 0.000 -2.341 0.000 5.711" Properties=species:S:1:pos:R:3 pbc="T T T"
Tb 1.287 4.532 5.359
Tb 0.954 0.946 3.699
Tb 4.129 4.532 3.207
Tb 2.124 -0.946 0.843
Tb 4.462 0.946 4.867
Tb 2.457 -4.532 2.504
Tb 5.633 -0.946 2.012
Tb 5.300 -4.532 0.351
Os 3.879 6.796 1.428
Os 2.708 -6.796 4.283
Pb 3.879 1.761 1.428
Pb 2.708 -1.761 4.283
```

What did the first record say?
The following is a DFT calculation (PBE-GGA) of a relaxed TaOsPb2 crystal.

Computed properties:
- N(E_F) (states/eV per atom) = 1.135
- ΔE to the lowest computed polymorph (eV/atom) = 0.8654
- energy relative to the elements (meV/atom) = 1053
- final energy (eV/cell) = -105.15
- spin magnetization (μB per formula unit) = 0.0
- space-group type = I-42d (122)

Geometry as extended XYZ:
```
16
Lattice="4.175 0.000 0.000 0.000 4.175 0.000 0.000 0.000 20.417" Properties=species:S:1:pos:R:3 pbc="T T T"
Ta 0.000 0.000 0.000
Ta 0.000 2.088 5.104
Ta 2.088 0.000 15.313
Ta 2.088 2.088 10.209
Os 0.000 0.000 10.209
Os 0.000 2.088 15.313
Os 2.088 0.000 5.104
Os 2.088 2.088 0.000
Pb 1.031 1.044 12.761
Pb 1.044 3.118 17.865
Pb 1.044 3.145 7.657
Pb 1.057 1.044 2.552
Pb 3.118 3.132 2.552
Pb 3.132 1.031 7.657
Pb 3.132 1.057 17.865
Pb 3.145 3.132 12.761
```

Q: Among the records above, which one has the lowest N(E_F)?
A: number 3

Q: Which value of N(E_F) does entry 1 give?
A: 1.135 states/eV per atom